Record 1
Below is an optimized crystal structure of Ti7Nb2Pb2, with properties calculated at the PBE-GGA level.

- DFT formation energy: 0.376 eV/atom
- Final energy: -7.153 eV/atom
- V: 20.6 A^3/atom

a = 5.702 Å, b = 5.702 Å, c = 7.916 Å
α = 90.00°, β = 90.00°, γ = 118.39°
Atoms (fractional coordinates):
Ti  0.000  0.000  0.000
Ti  0.000  0.500  0.303
Ti  0.000  0.500  0.697
Ti  0.500  0.000  0.303
Ti  0.500  0.000  0.697
Ti  0.500  0.500  0.176
Ti  0.500  0.500  0.824
Nb  0.268  0.732  0.000
Nb  0.732  0.268  0.000
Pb  0.246  0.246  0.500
Pb  0.754  0.754  0.500

---

Record 2
Below is an optimized crystal structure of Tb2GeIr, with properties calculated at the PBE-GGA level.

- DFT formation energy: -0.552 eV/atom
- Final energy: -6.237 eV/atom
- V: 24.7 A^3/atom

a = 7.657 Å, b = 7.657 Å, c = 7.657 Å
α = 29.88°, β = 29.88°, γ = 29.88°
Atoms (fractional coordinates):
Tb  0.242  0.242  0.242
Tb  0.758  0.758  0.758
Ge  0.000  0.000  0.000
Ir  0.500  0.500  0.500

---

Record 3
Below is an optimized crystal structure of PmAl3Ag10, with properties calculated at the PBE-GGA level.

- DFT formation energy: 0.029 eV/atom
- Final energy: -3.149 eV/atom
- V: 20.0 A^3/atom

a = 9.259 Å, b = 9.259 Å, c = 9.259 Å
α = 60.00°, β = 60.00°, γ = 60.00°
Atoms (fractional coordinates):
Pm  0.250  0.250  0.250
Pm  0.750  0.750  0.750
Al  0.238  0.238  0.762
Al  0.238  0.762  0.238
Al  0.238  0.762  0.762
Al  0.762  0.238  0.238
Al  0.762  0.238  0.762
Al  0.762  0.762  0.238
Ag  0.116  0.116  0.116
Ag  0.116  0.116  0.653
Ag  0.116  0.653  0.116
Ag  0.153  0.500  0.500
Ag  0.153  0.500  0.847
Ag  0.153  0.847  0.500
Ag  0.347  0.884  0.884
Ag  0.500  0.153  0.500
Ag  0.500  0.153  0.847
Ag  0.500  0.500  0.153
Ag  0.500  0.500  0.847
Ag  0.500  0.847  0.153
Ag  0.500  0.847  0.500
Ag  0.653  0.116  0.116
Ag  0.847  0.153  0.500
Ag  0.847  0.500  0.153
Ag  0.847  0.500  0.500
Ag  0.884  0.347  0.884
Ag  0.884  0.884  0.347
Ag  0.884  0.884  0.884

---

Record 4
Below is an optimized crystal structure of Ba2TcPt, with properties calculated at the PBE-GGA level.

- DFT formation energy: 0.429 eV/atom
- Relative energy among the computed polymorphs: 471 meV/atom
- Final energy: -4.634 eV/atom
- V: 30.0 A^3/atom

a = 3.827 Å, b = 3.827 Å, c = 8.187 Å
α = 90.00°, β = 90.00°, γ = 90.00°
Atoms (fractional coordinates):
Ba  0.000  0.000  0.230
Ba  0.000  0.000  0.770
Tc  0.500  0.500  0.500
Pt  0.500  0.500  0.000